# 1
{
  "formula": "SrZn2Cu",
  "functional": "PBE",
  "state": "optimized geometry",
  "dos_ef_per_ev_atom": 0.457,
  "vol_a3_per_cell": 89.2,
  "spacegroup": "R-3m, No. 166",
  "total_energy_ev_per_cell": -9.062,
  "cell": [[2.1683, 1.2519, 5.4731], [-2.1683, 1.2519, 5.4731], [0.0000, -2.5038, 5.4731]],
  "species": ["Sr", "Zn", "Zn", "Cu"],
  "fractional_positions": [[0.0000, 0.0000, 0.0000], [0.1939, 0.1939, 0.1939], [0.8061, 0.8061, 0.8061], [0.5000, 0.5000, 0.5000]]
}

# 2
{
  "formula": "SrZn2Cu",
  "functional": "PBE",
  "state": "optimized geometry",
  "dos_ef_per_ev_atom": 0.358,
  "vol_a3_per_cell": 89.3,
  "spacegroup": "Cm, No. 8",
  "total_energy_ev_per_cell": -9.115,
  "cell": [[3.7735, -2.1759, 0.0000], [3.7735, 2.1759, 0.0000], [-2.5019, 0.0000, 5.4397]],
  "species": ["Sr", "Zn", "Zn", "Cu"],
  "fractional_positions": [[0.0000, 0.0000, 0.0000], [0.1919, 0.1919, 0.5758], [0.4880, 0.4880, 0.4640], [0.8092, 0.8092, 0.4282]]
}

# 3
{
  "formula": "SrZn2Cu",
  "functional": "PBE",
  "state": "optimized geometry",
  "dos_ef_per_ev_atom": 0.476,
  "vol_a3_per_cell": 79.7,
  "spacegroup": "P4/mmm, No. 123",
  "total_energy_ev_per_cell": -8.332,
  "cell": [[3.2899, 0.0000, 0.0000], [0.0000, 3.2899, 0.0000], [0.0000, 0.0000, 7.3623]],
  "species": ["Sr", "Zn", "Zn", "Cu"],
  "fractional_positions": [[0.0000, 0.0000, 0.0000], [0.5000, 0.5000, 0.3212], [0.5000, 0.5000, 0.6788], [0.0000, 0.0000, 0.5000]]
}